one.
# Nd5Sm2Dy

A relaxed Nd5Sm2Dy crystal (PBE, the Alexandria database).

Cell lengths 5.1585, 7.3003, 14.6134 Å; angles 90.00, 90.00, 90.00 degrees
Closest atoms and distances in Å follow each position.
Positions (direct):
Nd1 0.5000 0.7494 0.1241  4 Sm 3.63-3.68, 2 Dy 3.64, 6 Nd 3.64-3.67
Nd2 0.0000 0.0002 0.2513  1 Dy 3.63, 7 Nd 3.64-3.67, 4 Sm 3.65-3.67
Sm1 0.5000 0.2505 0.1240  10 Nd 3.63-3.68, 2 Dy 3.64
Nd3 0.5000 0.2506 0.8759  4 Sm 3.63-3.68, 2 Dy 3.64, 6 Nd 3.64-3.67
Nd4 0.0000 0.0000 0.0000  4 Sm 3.64, 6 Nd 3.65-3.67, 2 Dy 3.65
Dy1 0.0000 0.5000 0.0000  8 Nd 3.63-3.65, 4 Sm 3.64
Sm2 0.5000 0.2495 0.6240  10 Nd 3.63-3.68, 2 Dy 3.64
Nd5 0.5000 0.2494 0.3759  4 Sm 3.63-3.68, 2 Dy 3.64, 6 Nd 3.64-3.67
Sm3 0.5000 0.7495 0.8760  10 Nd 3.63-3.68, 2 Dy 3.64
Nd6 0.5000 0.7506 0.6241  4 Sm 3.63-3.68, 2 Dy 3.64, 6 Nd 3.64-3.67
Nd7 0.0000 0.4998 0.7513  1 Dy 3.63, 7 Nd 3.64-3.67, 4 Sm 3.65-3.67
Sm4 0.5000 0.7505 0.3760  10 Nd 3.63-3.68, 2 Dy 3.64
Nd8 0.0000 0.9998 0.7487  1 Dy 3.63, 7 Nd 3.64-3.67, 4 Sm 3.65-3.67
Nd9 0.0000 0.5002 0.2487  1 Dy 3.63, 7 Nd 3.64-3.67, 4 Sm 3.65-3.67
Dy2 0.0000 0.0000 0.5000  8 Nd 3.63-3.65, 4 Sm 3.64
Nd10 0.0000 0.5000 0.5000  4 Sm 3.64, 6 Nd 3.65-3.67, 2 Dy 3.65

Output
Symmetry   No. 55
Total magnetic moment   0.00 μB/f.u.

---

two.
# Nd5Sm2Dy

A relaxed Nd5Sm2Dy crystal (PBE, the Alexandria database).

Cell lengths 16.5010, 16.5010, 10.5806 Å; angles 60.87, 60.87, 120.04 degrees
Closest atoms and distances in Å follow each position.
Positions (direct):
Nd1 0.4008 0.6815 0.5075  4 Nd 3.41-3.65, 1 Dy 3.53, 1 Sm 3.81
Nd2 0.6815 0.4008 0.0075  4 Nd 3.41-3.65, 1 Dy 3.53, 1 Sm 3.81
Nd3 0.9564 0.0735 0.4734  5 Nd 3.33-3.63, 4 Sm 3.51-3.72
Nd4 0.6539 0.3461 0.7500  2 Sm 3.21, 4 Nd 3.33-3.41
Nd5 0.0735 0.9564 0.9734  5 Nd 3.33-3.63, 4 Sm 3.51-3.72
Sm1 0.0000 0.5000 0.5000  2 Dy 3.05, 2 Nd 3.21, 2 Sm 3.32
Dy1 0.7626 0.2374 0.2500  2 Sm 3.05, 2 Dy 3.39
Nd6 0.5992 0.3185 0.4925  4 Nd 3.41-3.65, 1 Dy 3.53, 1 Sm 3.81
Sm2 0.5000 0.5000 0.5000  8 Nd 3.51-3.72, 2 Sm 3.73
Nd7 0.9265 0.0436 0.0266  5 Nd 3.33-3.63, 4 Sm 3.51-3.72
Nd8 0.3185 0.5992 0.9925  4 Nd 3.41-3.65, 1 Dy 3.53, 1 Sm 3.81
Nd9 0.3461 0.6539 0.2500  2 Sm 3.21, 4 Nd 3.33-3.41
Nd10 0.0436 0.9265 0.5266  5 Nd 3.33-3.63, 4 Sm 3.51-3.72
Sm3 0.5000 0.0000 0.0000  2 Dy 3.05, 2 Nd 3.21, 2 Sm 3.32
Dy2 0.2374 0.7626 0.7500  2 Sm 3.05, 2 Dy 3.39
Sm4 0.5000 0.5000 0.0000  8 Nd 3.51-3.72, 2 Sm 3.73

Output
Symmetry   No. 15
Total magnetic moment   0.00 μB/f.u.

---

Stability ranking, top entry: one; the second entry is 197 meV per atom less favorable.